VASP calculation (PBE) on crystalline HfVP at its relaxed geometry.

extended XYZ file:
```
12
Lattice="3.821 0.000 0.000 0.000 7.229 0.318 -1.911 -0.421 7.485" Properties=species:S:1:pos:R:3 pbc="T T T"
P 0.000 5.973 5.928
V 0.000 0.512 3.597
Hf 0.000 1.034 6.753
V 0.000 4.773 3.840
Hf 1.911 4.052 6.273
P 1.911 4.042 2.755
P 1.911 0.835 1.875
Hf 0.000 2.756 1.530
Hf 1.911 5.774 1.050
V 1.911 6.296 4.206
P 0.000 2.766 5.048
V 1.911 2.035 3.963
```

Values from the calculation:
- SG = C2/m
- total DFT energy (no corrections) (eV per atom) = -8.709